An optimized crystal structure of Tm3ReTe5, computed with GGA-PBE.

Results
Distance to the lowest polymorph of the same formula, eV/atom: 0.000
SG: P-62m
E_tot, eV for the cell shown: -47.14
Volume, Å³ per atom: 28.8
Size of the total moment, μB/cell: 0.01

abc: 8.341 8.341 4.300
angles: 90.00 90.00 120.00
Fractional coordinates of all 9 atoms:
Re  0.000  0.000  0.000
Tm  0.741  0.741  0.500
Tm  0.000  0.259  0.500
Tm  0.259  0.000  0.500
Te  0.000  0.686  0.000
Te  0.667  0.333  0.500
Te  0.314  0.314  0.000
Te  0.686  0.000  0.000
Te  0.333  0.667  0.500


An optimized crystal structure of TmReTe, computed with GGA-PBE.

Results
Distance to the lowest polymorph of the same formula, eV/atom: 0.312
SG: F-43m
E_tot, eV for the cell shown: -17.46
Volume, Å³ per atom: 25.4
Size of the total moment, μB/cell: 0.02

abc: 4.759 4.759 4.759
angles: 60.00 60.00 60.00
Fractional coordinates of all 3 atoms:
Tm  0.000  0.000  0.000
Te  0.750  0.750  0.750
Re  0.250  0.250  0.250


An optimized crystal structure of Tm3ReTe5, computed with GGA-PBE.

Results
Distance to the lowest polymorph of the same formula, eV/atom: 0.028
SG: P-62m
E_tot, eV for the cell shown: -46.89
Volume, Å³ per atom: 27.2
Size of the total moment, μB/cell: 0.00

abc: 8.643 8.643 3.780
angles: 90.00 90.00 120.00
Fractional coordinates of all 9 atoms:
Te  0.227  0.000  0.500
Te  0.667  0.333  0.500
Te  0.333  0.667  0.500
Te  0.000  0.227  0.500
Te  0.773  0.773  0.500
Re  0.000  0.000  0.000
Tm  0.643  0.000  0.000
Tm  0.357  0.357  0.000
Tm  0.000  0.643  0.000


An optimized crystal structure of Tm5ReTe3, computed with GGA-PBE.

Results
Distance to the lowest polymorph of the same formula, eV/atom: 0.148
SG: P-62m
E_tot, eV for the cell shown: -46.35
Volume, Å³ per atom: 26.4
Size of the total moment, μB/cell: 0.02

abc: 8.150 8.150 4.136
angles: 90.00 90.00 120.00
Fractional coordinates of all 9 atoms:
Tm  0.333  0.667  0.500
Tm  0.342  0.342  0.000
Tm  0.667  0.333  0.500
Tm  0.000  0.658  0.000
Tm  0.658  0.000  0.000
Re  0.000  0.000  0.000
Te  0.250  0.000  0.500
Te  0.000  0.250  0.500
Te  0.750  0.750  0.500


An optimized crystal structure of Tm2ReTe6, computed with GGA-PBE.

Results
SG: P-62m
E_tot, eV for the cell shown: -44.85
Volume, Å³ per atom: 26.1
Size of the total moment, μB/cell: 0.14

abc: 8.282 8.282 3.953
angles: 90.00 90.00 120.00
Each line ends with the local moment (μB).
Fractional coordinates of all 9 atoms:
Tm  0.667  0.333  0.500  0.00
Tm  0.333  0.667  0.500  0.00
Te  0.000  0.235  0.500  0.00
Te  0.235  0.000  0.500  0.00
Te  0.765  0.765  0.500  0.00
Te  0.572  0.000  0.000  0.00
Te  0.000  0.572  0.000  0.00
Te  0.428  0.428  0.000  0.00
Re  0.000  0.000  0.000  0.13


An optimized crystal structure of TmReTe, computed with GGA-PBE.

Results
Distance to the lowest polymorph of the same formula, eV/atom: 0.000
SG: F-43m
E_tot, eV for the cell shown: -18.39
Volume, Å³ per atom: 23.8
Size of the total moment, μB/cell: 1.63

abc: 4.654 4.654 4.654
angles: 60.00 60.00 60.00
Fractional coordinates of all 3 atoms:
Te  0.000  0.000  0.000
Re  0.250  0.250  0.250
Tm  0.750  0.750  0.750


An optimized crystal structure of Tm5ReTe3, computed with GGA-PBE.

Results
Distance to the lowest polymorph of the same formula, eV/atom: 0.000
SG: P-62m
E_tot, eV for the cell shown: -47.69
Volume, Å³ per atom: 26.6
Size of the total moment, μB/cell: 0.68

abc: 8.649 8.649 3.695
angles: 90.00 90.00 120.00
Each line ends with the local moment (μB).
Fractional coordinates of all 9 atoms:
Te  0.573  0.000  0.000  0.00
Te  0.000  0.573  0.000  0.00
Te  0.427  0.427  0.000  0.00
Tm  0.333  0.667  0.500  0.15
Tm  0.235  0.000  0.500  0.06
Tm  0.667  0.333  0.500  0.15
Tm  0.765  0.765  0.500  0.07
Tm  0.000  0.235  0.500  0.05
Re  0.000  0.000  0.000  0.05


An optimized crystal structure of UReTe, computed with GGA-PBE.

Results
Distance to the lowest polymorph of the same formula, eV/atom: 0.000
SG: F-43m
E_tot, eV for the cell shown: -25.93
Volume, Å³ per atom: 23.6
Size of the total moment, μB/cell: 1.23

abc: 4.642 4.642 4.642
angles: 60.00 60.00 60.00
Each line ends with the local moment (μB).
Fractional coordinates of all 3 atoms:
Te  0.750  0.750  0.750  -0.01
U  0.250  0.250  0.250  1.46
Re  0.000  0.000  0.000  -0.30


volume of number 3 (Tm3ReTe5)?
27.2 Å³ per atom